! CdWIO2 | Alexandria via LeMat-Bulk | GGA-PBEsol | optimized geometry; values from VASP
! Fermi-level density of states, states/eV/f.u.: 2.15
! Size of the total moment, μB/cell: 0.00
! E_tot, eV per atom: -6.16
! Space group: No. 123
! Raw formation energy, meV per atom: -703
&SYSTEM
  ibrav = 0, nat = 5, ntyp = 4
/
ATOMIC_SPECIES
Cd 112.41 Cd.upf
W 183.84 W.upf
I 126.90 I.upf
O 16.00 O.upf
CELL_PARAMETERS angstrom
3.9483 0.0000 0.0000
0.0000 3.9483 0.0000
0.0000 0.0000 5.8889
ATOMIC_POSITIONS crystal
Cd 0.0000 0.0000 0.0000
W 0.5000 0.5000 0.5000
I 0.5000 0.5000 0.0000
O 0.0000 0.5000 0.5000
O 0.5000 0.0000 0.5000